Entry 1:
DFT (PBEsol) results for a relaxed structure of YZn2Rh2.

Computed properties:
Energy above the lowest structure with this stoichiometry ... 33.8 meV per atom
ΔH_f (0 K) ... -468 meV per atom
Size of the total moment ... 0.00 μB/f.u.

a b c (Å): 3.8824 3.8824 11.3173
angles (deg): 90.00 90.00 90.00
Closest atoms and distances in Å follow each position.
Space group I4/mmm (No. 139)
One atom of each set of equivalent atoms:
Y  0.0000  0.0000  0.0000  8 Rh 3.02
Zn  0.0000  0.5000  0.2500  4 Rh 2.50, 4 Zn 2.75
Rh  0.0000  0.0000  0.3892  4 Zn 2.50, 1 Rh 2.51

---

Entry 2:
DFT (PBEsol) results for a relaxed structure of Na2ZrNiP4O14.

Computed properties:
Formation energy from raw total energies ... -218.3 kJ/mol of atoms
Size of the total moment ... 2.01 μB/f.u.

a b c (Å): 6.4945 6.5198 6.9102
angles (deg): 65.61 85.53 81.62
Closest atoms and distances in Å follow each position.
Space group P1 (No. 1)
One atom of each set of equivalent atoms:
Na  0.0000  0.0000  0.0000  3 O 2.18-2.31
Na  0.2959  0.3955  0.6900  3 O 2.25-2.49
Zr  0.7625  0.7839  0.6128  6 O 2.04-2.14
Ni  0.4553  0.6139  0.0504  5 O 2.00-2.19
P  0.2443  0.9387  0.5774  4 O 1.48-1.59
P  0.4867  0.0654  0.1605  4 O 1.51-1.62
P  0.7209  0.3528  0.4640  4 O 1.52-1.58
P  0.9801  0.4943  0.0624  4 O 1.49-1.61
O  0.0532  0.3404  0.9544  1 P 1.49
O  0.0778  0.7928  0.5702  1 P 1.56
O  0.1388  0.6311  0.0879  1 P 1.52
O  0.1663  0.1021  0.6723  1 P 1.48
O  0.3090  0.0733  0.3361  2 P 1.59-1.62
O  0.4217  0.9299  0.0487  1 P 1.51
O  0.4378  0.7665  0.6889  1 P 1.57
O  0.5052  0.3121  0.0155  1 P 1.52
O  0.5128  0.4641  0.3609  1 P 1.52
O  0.6862  0.9458  0.2952  1 P 1.56
O  0.7155  0.1044  0.6192  1 P 1.53
O  0.7797  0.6611  0.9516  1 P 1.59
O  0.7942  0.4845  0.5804  1 P 1.54
O  0.8956  0.3395  0.2948  2 P 1.58-1.61

---

Entry 3:
DFT (PBEsol) results for a relaxed structure of BaAs2Rh.

Computed properties:
ΔH_f (0 K) ... 108 meV per atom
Size of the total moment ... 0.00 μB/f.u.

a b c (Å): 4.5303 4.5303 8.3790
angles (deg): 90.00 90.00 90.00
Closest atoms and distances in Å follow each position.
Space group I-4m2 (No. 119)
One atom of each set of equivalent atoms:
Ba  0.0000  0.0000  0.0000  8 As 3.09-3.20, 4 Rh 3.09
As  0.0000  0.0000  0.5000  4 As 3.09, 4 Rh 3.09, 4 Ba 3.20
As  0.0000  0.5000  0.7500  4 Ba 3.09, 4 As 3.09, 4 Rh 3.20
Rh  0.0000  0.5000  0.2500  4 Ba 3.09, 8 As 3.09-3.20

---

Entry 4:
DFT (PBEsol) results for a relaxed structure of VTe2.

Computed properties:
Formation energy from raw total energies ... -30.1 kJ/mol of atoms
Size of the total moment ... 0.51 μB/f.u.

a b c (Å): 3.5587 3.5587 6.4608
angles (deg): 90.00 90.00 120.00
Closest atoms and distances in Å follow each position.
Space group P-3m1 (No. 164)
One atom of each set of equivalent atoms:
V  0.0000  0.0000  0.0000  6 Te 2.67
Te  0.3333  0.6667  0.2630  3 V 2.67

---

Entry 5:
DFT (PBEsol) results for a relaxed structure of SmH3.

Computed properties:
Size of the total moment ... 0.00 μB/f.u.
E_tot ... -4.359 eV/atom

a b c (Å): 6.4294 6.4294 6.6442
angles (deg): 90.00 90.00 120.00
Closest atoms and distances in Å follow each position.
Space group P-3c1 (No. 165)
One atom of each set of equivalent atoms:
Sm  0.0000  0.3363  0.2500  9 H 2.16-2.36
H  0.0000  0.0000  0.2500  3 Sm 2.16, 6 H 2.38
H  0.0235  0.3457  0.9047  2 H 2.07-2.31, 2 Sm 2.29-2.30
H  0.3333  0.6667  0.1712  3 Sm 2.20, 3 H 2.31

---

Entry 6:
DFT (PBEsol) results for a relaxed structure of KLa4As.

Computed properties:
ΔH_f (0 K) ... 330 meV per atom
Size of the total moment ... 0.00 μB/f.u.

a b c (Å): 9.2112 9.2112 9.2112
angles (deg): 90.00 90.00 90.00
Closest atoms and distances in Å follow each position.
Space group F-43m (No. 216)
One atom of each set of equivalent atoms:
K  0.0000  0.0000  0.0000  12 La 3.83, 4 As 3.99
La  0.1202  0.1202  0.3798  6 La 3.13-3.38
As  0.2500  0.2500  0.7500  12 La 3.81, 4 K 3.99

---

Entry 7:
DFT (PBEsol) results for a relaxed structure of CdReBr.

Computed properties:
Formation energy from raw total energies ... 61.4 kJ/mol of atoms
Size of the total moment ... 0.00 μB/f.u.

a b c (Å): 2.9824 2.9824 7.5682
angles (deg): 90.00 90.00 120.00
Closest atoms and distances in Å follow each position.
Space group P3m1 (No. 156)
One atom of each set of equivalent atoms:
Cd  0.0000  0.0000  0.0000  3 Re 2.90, 6 Cd 2.98
Re  0.3333  0.6667  0.6912  3 Br 2.56
Br  0.6667  0.3333  0.4415  3 Re 2.56

---

Entry 8:
DFT (PBEsol) results for a relaxed structure of Sr3CrN3.

Computed properties:
Formation energy from raw total energies ... -90.8 kJ/mol of atoms
Size of the total moment ... 0.00 μB/f.u.

a b c (Å): 7.6953 7.6953 5.1858
angles (deg): 90.00 90.00 120.00
Closest atoms and distances in Å follow each position.
Space group P6_3/m (No. 176)
One atom of each set of equivalent atoms:
Sr  0.0853  0.7274  0.2500  5 N 2.64-2.87
Cr  0.3333  0.6667  0.7500  3 N 1.71
N  0.1199  0.6842  0.7500  1 Cr 1.71

---

> What is the size of the total moment in the sixth record?

0.00 μB/f.u.